Ga2HgPt: optimized geometry, PBE-GGA.

Values from the calculation:
Space-group type: No. 122
Uncorrected energy (eV per atom): -3.202

Lattice parameters (Å, degrees): 4.332 4.332 9.106 76.24 76.24 90.00
Positions (direct):
Pt 0.500 0.500 0.000
Pt 0.250 0.750 0.500
Ga 0.171 0.625 0.250
Ga 0.875 0.829 0.750
Ga 0.375 0.421 0.750
Ga 0.579 0.125 0.250
Hg 0.000 0.000 0.000
Hg 0.750 0.250 0.500

---

Ga2HgPt2: optimized geometry, PBE-GGA.

Values from the calculation:
Relative energy among the computed polymorphs (eV/atom): 0.000
Space-group type: No. 127

Lattice parameters (Å, degrees): 7.478 7.478 3.053 90.00 90.00 90.00
Positions (direct):
Hg 0.000 0.000 0.000
Hg 0.500 0.500 0.000
Ga 0.853 0.353 0.500
Ga 0.147 0.647 0.500
Ga 0.647 0.853 0.500
Ga 0.353 0.147 0.500
Pt 0.648 0.148 0.000
Pt 0.148 0.352 0.000
Pt 0.852 0.648 0.000
Pt 0.352 0.852 0.000

---

Rb2GaHgPt: optimized geometry, PBE-GGA.

Values from the calculation:
Space-group type: No. 123
Uncorrected energy (eV per atom): -2.427

Lattice parameters (Å, degrees): 6.554 6.554 4.822 90.00 90.00 90.00
Positions (direct):
Rb 0.500 0.000 0.000
Rb 0.000 0.500 0.000
Hg 0.500 0.500 0.500
Ga 0.000 0.000 0.500
Pt 0.000 0.000 0.000

---

GaRe2HgPt: optimized geometry, PBE-GGA.

Values from the calculation:
Space-group type: No. 123
Uncorrected energy (eV per atom): -4.253

Lattice parameters (Å, degrees): 5.033 4.627 5.033 90.00 90.00 90.00
Each line ends with the local moment (μB).
Positions (direct):
Ga 0.000 0.500 0.000  -0.01
Re 0.500 0.000 0.000  2.02
Re 0.000 0.000 0.500  2.29
Pt 0.500 0.500 0.500  0.21
Hg 0.000 0.000 0.000  0.03